Here is crystalline Ce2AsPb at its relaxed geometry from Alexandria via LeMat-Bulk. Energies are from PBE-GGA.

Cell and atoms, written as POSCAR:
```
Ce2AsPb
1.0
3.599 0.000 0.000
0.000 3.599 0.000
0.000 0.000 8.229
Ce Pb As
2 1 1
Cartesian
0.000 0.000 1.746
0.000 0.000 6.483
1.800 1.800 4.114
1.800 1.800 0.000
```

Computed properties:
**Crystal system**: tetragonal
**E**: -23.36 eV/f.u.
**Calculated formation energy**: -783 meV per atom
**Spin magnetization**: 2.09 μB/f.u.

---

Here is crystalline CeAs2Pd7Pb2 at its relaxed geometry from Alexandria via LeMat-Bulk. Energies are from PBE-GGA.

Cell and atoms, written as POSCAR:
```
CeAs2Pd7Pb2
1.0
0.027 -4.037 -0.793
2.273 -0.653 3.367
-11.297 -2.976 8.521
As Pb Ce Pd
2 2 1 7
Cartesian
-1.828 -2.735 3.212
-7.169 -4.932 7.883
-6.598 -2.340 5.467
-2.399 -5.326 5.629
0.000 0.000 0.000
-0.609 -4.589 2.034
1.150 -2.345 1.287
0.512 -2.900 4.110
-3.858 -3.077 4.587
-8.389 -3.077 9.062
-5.140 -4.589 6.509
-9.510 -4.767 6.985
```

Computed properties:
**Crystal system**: monoclinic
**E**: -63.96 eV/f.u.
**Calculated formation energy**: -413 meV per atom
**Spin magnetization**: 0.36 μB/f.u.

---

Here is crystalline CeAs2Rh5Pb at its relaxed geometry from Alexandria via LeMat-Bulk. Energies are from PBE-GGA.

Cell and atoms, written as POSCAR:
```
CeAs2Rh5Pb
1.0
-2.656 2.553 1.783
-1.388 -3.068 2.326
7.435 2.414 7.621
As Rh Pb Ce
2 5 1 1
Cartesian
0.073 0.423 4.202
3.317 1.476 7.527
-0.063 1.687 2.188
4.842 3.280 7.216
0.571 -1.123 2.460
5.476 0.470 7.487
1.695 0.950 5.865
0.000 0.000 0.000
3.717 1.207 3.811
```

Computed properties:
**Crystal system**: tetragonal
**E**: -59.32 eV/f.u.
**Calculated formation energy**: -402 meV per atom
**Spin magnetization**: 0.74 μB/f.u.

---

Here is crystalline CeAs2Rh7Pb2 at its relaxed geometry from Alexandria via LeMat-Bulk. Energies are from PBE-GGA.

Cell and atoms, written as POSCAR:
```
CeAs2Rh7Pb2
1.0
4.004 0.005 0.119
0.010 4.004 0.119
2.366 2.363 14.261
Pb Rh Ce As
2 7 1 2
Cartesian
2.579 2.576 8.740
3.800 3.795 5.758
4.591 4.586 8.440
2.437 4.435 12.204
4.438 2.432 12.204
1.788 1.786 6.059
2.007 2.004 0.119
1.941 3.939 2.295
3.942 1.937 2.295
0.000 0.000 0.000
4.478 4.473 10.886
1.901 1.899 3.613
```

Computed properties:
**Crystal system**: monoclinic
**E**: -77.95 eV/f.u.
**Calculated formation energy**: -320 meV per atom
**Spin magnetization**: 0.00 μB/f.u.

---

Here is crystalline Ce6As2PbSe3 at its relaxed geometry from Alexandria via LeMat-Bulk. Energies are from PBE-GGA.

Cell and atoms, written as POSCAR:
```
Ce6As2PbSe3
1.0
4.279 0.000 0.000
0.000 8.545 0.347
-2.140 -2.420 8.976
Ce As Se Pb
6 2 3 1
Cartesian
2.140 3.862 9.180
0.000 6.181 6.192
0.000 2.262 0.144
2.140 -0.056 3.132
2.140 4.142 3.216
0.000 1.983 6.108
2.140 4.079 6.193
0.000 2.045 3.131
0.000 6.314 3.234
2.140 4.272 0.174
2.140 -0.190 6.089
2.140 0.000 0.000
```

Computed properties:
**Crystal system**: monoclinic
**ΔE_f (raw)**: -1.431 eV/atom
**E**: -76.23 eV/f.u.
**Spin magnetization**: 5.34 μB/f.u.

---

Here is crystalline Ce4TeAs2Pb at its relaxed geometry from Alexandria via LeMat-Bulk. Energies are from PBE-GGA.

Cell and atoms, written as POSCAR:
```
Ce4TeAs2Pb
1.0
-2.711 -2.351 2.412
1.301 -6.094 -4.478
5.827 -3.863 2.784
Ce As Pb Te
4 2 1 1
Cartesian
3.361 -5.488 2.304
1.056 -6.821 -1.586
5.329 -7.581 -1.399
-0.913 -4.727 2.117
1.558 -3.107 2.598
5.827 -3.863 2.784
3.564 -4.979 -0.847
5.122 -8.086 1.751
```

Computed properties:
**Crystal system**: monoclinic
**ΔE_f (raw)**: -1.142 eV/atom
**E**: -49.02 eV/f.u.
**Spin magnetization**: 3.23 μB/f.u.